No. 1
This record from Alexandria via LeMat-Bulk describes an optimized crystal structure of MnSnPHS. The functional is PBE.

```
MnSnPHS
1.0
4.010 0.000 0.000
0.000 2.021 4.812
0.000 -2.021 4.812
Mn Sn P H S
1 1 1 1 1
Cartesian
0.000 0.000 0.000
2.005 0.000 7.661
2.005 0.000 1.125
0.000 0.000 1.551
0.000 0.000 4.031
```

As for the distance to the lowest polymorph of the same formula: 0.40 eV/f.u. The total DFT energy (no corrections) comes out at -26.123 eV/cell.

---

No. 2
This record from Alexandria via LeMat-Bulk describes an optimized crystal structure of CaGa2Hg2. The functional is PBE.

```
CaGa2Hg2
1.0
8.075 0.000 0.000
0.000 8.075 0.000
0.000 0.000 3.717
Ca Ga Hg
2 4 4
Cartesian
0.000 0.000 0.000
4.038 4.038 0.000
1.360 2.678 1.858
2.678 6.715 1.858
5.398 1.360 1.858
6.715 5.398 1.858
1.079 5.117 0.000
2.959 1.079 0.000
5.117 6.996 0.000
6.996 2.959 0.000
```

Its formation energy is -0.680 eV/f.u. As for the distance to the lowest polymorph of the same formula: 0.66 eV/f.u. The total DFT energy (no corrections) comes out at -18.679 eV/cell.

---

Among the records above, which one has the lowest distance to the lowest polymorph of the same formula? MnSnPHS